# 1
VASP calculation (GGA-PBEsol) on Mg2Mn3O8 after structural relaxation.

Cell and atoms, written as POSCAR:
```
Mg2Mn3O8
1.0
4.796 0.000 -0.187
0.000 5.677 0.000
-1.475 -2.839 4.843
O Mn Mg
8 3 2
Direct
0.930 0.607 0.214
0.908 0.105 0.210
0.602 0.661 0.774
0.602 0.114 0.774
0.398 0.339 0.226
0.070 0.393 0.786
0.092 0.895 0.790
0.398 0.886 0.226
0.500 0.000 0.000
0.000 0.740 0.000
0.000 0.260 0.000
0.350 0.277 0.554
0.650 0.723 0.446
```

Summary:
Size of the total moment ... 9.0 μB per cell
Uncorrected formation energy ... -26.42 eV per formula unit
Space-group type ... C2/m (12)
Relative energy among the computed polymorphs ... 0.000 eV/atom



# 2
VASP calculation (GGA-PBEsol) on YMg3Cu2 after structural relaxation.

Cell and atoms, written as POSCAR:
```
YMg3Cu2
1.0
5.038 0.000 0.000
0.000 7.005 0.000
0.000 -3.503 6.673
Cu Mg Y
4 6 2
Direct
0.500 0.177 0.000
0.000 0.823 0.000
0.000 0.177 0.000
0.500 0.823 0.000
0.750 0.061 0.653
0.250 0.408 0.347
0.750 0.154 0.309
0.250 0.939 0.347
0.750 0.592 0.653
0.250 0.846 0.691
0.250 0.404 0.808
0.750 0.596 0.192
```

Summary:
Size of the total moment ... 0.0 μB per cell
Density of states at the Fermi level ... 6.9 states/eV/cell
Space-group type ... Cmcm (63)
ΔE_f ... -0.0729 eV/atom